No. 1
Density functional theory data (GGA-PBE) for an optimized crystal structure of MoIrC3.

abc: 4.023 4.023 4.023
angles: 90.00 90.00 90.00
Sites, in units of the cell vectors:
Mo1 0.000 0.000 0.000
Ir1 0.500 0.500 0.500
C1 0.000 0.000 0.500
C2 0.000 0.500 0.000
C3 0.500 0.000 0.000

Its formation enthalpy at 0 K is 2.467 eV/atom. The offset from the most stable computed form is 102 meV/atom. The crystal system is cubic. Its space-group type is Pm-3m.


No. 2
Density functional theory data (GGA-PBE) for an optimized crystal structure of Pr2Nd3Te8.

abc: 9.097 9.097 7.744
angles: 106.37 106.37 59.46
Sites, in units of the cell vectors:
Pr1 0.248 0.248 0.166
Pr2 0.752 0.752 0.834
Nd1 0.241 0.759 0.500
Nd2 0.500 0.500 0.000
Nd3 0.759 0.241 0.500
Te1 0.121 0.121 0.409
Te2 0.133 0.624 0.086
Te3 0.376 0.867 0.914
Te4 0.379 0.379 0.581
Te5 0.621 0.621 0.419
Te6 0.624 0.133 0.086
Te7 0.867 0.376 0.914
Te8 0.879 0.879 0.591

The crystal system is monoclinic. The uncorrected formation energy is -1286 meV/atom. Its space-group type is C2/m.


No. 3
Density functional theory data (GGA-PBE) for an optimized crystal structure of CrRh5W.

abc: 5.325 5.325 9.021
angles: 103.74 103.74 62.90
Sites, in units of the cell vectors:
Cr1 0.000 0.500 0.000
Cr2 0.500 0.000 0.500
Rh1 0.062 0.731 0.509
Rh2 0.173 0.827 0.250
Rh3 0.183 0.326 0.269
Rh4 0.269 0.938 0.991
Rh5 0.326 0.183 0.769
Rh6 0.674 0.817 0.231
Rh7 0.731 0.062 0.009
Rh8 0.817 0.674 0.731
Rh9 0.827 0.173 0.750
Rh10 0.938 0.269 0.491
W1 0.376 0.624 0.750
W2 0.624 0.376 0.250

Its formation enthalpy at 0 K is 0.128 eV/atom. The crystal system is monoclinic. Its space-group type is C2/c.


No. 4
Density functional theory data (GGA-PBE) for an optimized crystal structure of MnCo2Mo.

abc: 8.455 8.455 8.455
angles: 18.14 18.14 18.14
Sites, in units of the cell vectors:
Mn1 0.000 0.000 0.000
Co1 0.253 0.253 0.253
Co2 0.747 0.747 0.747
Mo1 0.500 0.500 0.500

Its formation enthalpy at 0 K is 0.228 eV/atom. The offset from the most stable computed form is 236 meV/atom. The crystal system is trigonal. Its space-group type is R-3m.


No. 5
Density functional theory data (GGA-PBE) for an optimized crystal structure of ZrAlSi.

abc: 5.348 6.762 6.763
angles: 72.75 76.56 67.59
Sites, in units of the cell vectors:
Zr1 0.126 0.142 0.272
Zr2 0.184 0.276 0.723
Zr3 0.816 0.724 0.277
Zr4 0.874 0.858 0.728
Al1 0.297 0.647 0.417
Al2 0.327 0.841 0.006
Al3 0.673 0.159 0.994
Al4 0.703 0.353 0.583
Si1 0.231 0.505 0.991
Si2 0.412 0.860 0.609
Si3 0.588 0.140 0.391
Si4 0.769 0.495 0.009

The crystal system is triclinic. The uncorrected formation energy is -457 meV/atom. Its space-group type is P-1.


No. 6
Density functional theory data (GGA-PBE) for an optimized crystal structure of SmHoP2Rh5.

abc: 4.048 4.048 10.682
angles: 90.00 90.00 90.00
Sites, in units of the cell vectors:
Sm1 0.000 0.000 0.000
Ho1 0.000 0.000 0.500
P1 0.500 0.500 0.212
P2 0.500 0.500 0.788
Rh1 0.000 0.500 0.305
Rh2 0.000 0.500 0.695
Rh3 0.500 0.000 0.305
Rh4 0.500 0.000 0.695
Rh5 0.500 0.500 0.000

Its formation enthalpy at 0 K is -0.759 eV/atom. The crystal system is tetragonal. Its space-group type is P4/mmm.


No. 7
Density functional theory data (GGA-PBE) for an optimized crystal structure of BaCa3Pd.

abc: 5.803 5.803 5.803
angles: 90.00 90.00 90.00
Sites, in units of the cell vectors:
Ba1 0.000 0.000 0.000
Ca1 0.000 0.500 0.500
Ca2 0.500 0.000 0.500
Ca3 0.500 0.500 0.000
Pd1 0.500 0.500 0.500

Its formation enthalpy at 0 K is -0.311 eV/atom. The offset from the most stable computed form is 0 meV/atom. The crystal system is cubic. Its space-group type is Pm-3m.


No. 8
Density functional theory data (GGA-PBE) for an optimized crystal structure of Hf2MgBi2.

abc: 7.725 7.725 7.725
angles: 146.01 146.01 48.83
Sites, in units of the cell vectors:
Hf1 0.100 0.100 0.000
Hf2 0.900 0.900 0.000
Mg1 0.500 0.500 0.000
Bi1 0.250 0.750 0.500
Bi2 0.750 0.250 0.500

Its formation enthalpy at 0 K is 0.420 eV/atom. The offset from the most stable computed form is 391 meV/atom. The crystal system is tetragonal. Its space-group type is I4/mmm.


No. 9
Density functional theory data (GGA-PBE) for an optimized crystal structure of La2PaPN5.

abc: 6.482 6.482 5.962
angles: 90.00 90.00 90.00
Sites, in units of the cell vectors:
La1 0.172 0.328 0.000
La2 0.328 0.828 0.000
La3 0.672 0.172 0.000
La4 0.828 0.672 0.000
Pa1 0.000 0.000 0.500
Pa2 0.500 0.500 0.500
P1 0.000 0.500 0.500
P2 0.500 0.000 0.500
N1 0.000 0.000 0.000
N2 0.139 0.639 0.300
N3 0.139 0.639 0.700
N4 0.361 0.139 0.300
N5 0.361 0.139 0.700
N6 0.500 0.500 0.000
N7 0.639 0.861 0.300
N8 0.639 0.861 0.700
N9 0.861 0.361 0.300
N10 0.861 0.361 0.700

The crystal system is tetragonal. The uncorrected formation energy is -765 meV/atom. Its space-group type is P4/mbm.


No. 10
Density functional theory data (GGA-PBE) for an optimized crystal structure of ReSbCl2.

abc: 5.445 5.445 3.575
angles: 107.64 107.64 115.84
Sites, in units of the cell vectors:
Re1 0.000 0.000 0.000
Sb1 0.500 0.500 0.000
Cl1 0.000 0.500 0.500
Cl2 0.500 0.000 0.500

The offset from the most stable computed form is 724 meV/atom. The crystal system is monoclinic. The uncorrected formation energy is 731 meV/atom. Its space-group type is C2/m.


No. 11
Density functional theory data (GGA-PBE) for an optimized crystal structure of Sr2CoHg.

abc: 4.561 6.259 6.259
angles: 43.05 90.00 90.00
Sites, in units of the cell vectors:
Sr1 0.000 0.000 0.000
Sr2 0.500 0.286 0.286
Co1 0.000 0.697 0.697
Hg1 0.500 0.583 0.583

Its formation enthalpy at 0 K is 0.002 eV/atom. The crystal system is orthorhombic. Its space-group type is Amm2.


No. 12
Density functional theory data (GGA-PBE) for an optimized crystal structure of LiTb2Ni12B3.

abc: 6.584 6.584 6.584
angles: 67.31 67.31 67.31
Sites, in units of the cell vectors:
Li1 0.000 0.000 0.000
Tb1 0.397 0.397 0.397
Tb2 0.603 0.603 0.603
Ni1 0.120 0.718 0.718
Ni2 0.130 0.130 0.616
Ni3 0.130 0.616 0.130
Ni4 0.282 0.282 0.880
Ni5 0.282 0.880 0.282
Ni6 0.384 0.870 0.870
Ni7 0.616 0.130 0.130
Ni8 0.718 0.120 0.718
Ni9 0.718 0.718 0.120
Ni10 0.870 0.384 0.870
Ni11 0.870 0.870 0.384
Ni12 0.880 0.282 0.282
B1 0.000 0.000 0.500
B2 0.000 0.500 0.000
B3 0.500 0.000 0.000

Its formation enthalpy at 0 K is -0.044 eV/atom. The crystal system is trigonal. Its space-group type is R-3m.